No. 1
Computed, not measured: a relaxed LiCuSiIr crystal at the PBE level of DFT.

Its density of states at the Fermi level is 1.00 states/eV/f.u. As for the energy relative to the elements, uncorrected: -420 meV per atom. Its total magnetic moment is 0.000 μB/f.u. The energy comes out at -87.90 eV for the cell shown.

It has space group F-43m (No. 216), with a = 5.792 Å, b = 5.792 Å, c = 5.792 Å, α = 90.00°, β = 90.00° and γ = 90.00°. The inequivalent atoms are Li at (0.000, 0.000, 0.000), Cu at (0.250, 0.250, 0.250), Si at (0.000, 0.000, 0.500) and Ir at (0.250, 0.250, 0.750).

---

No. 2
Computed, not measured: a relaxed Li3Sm2Cu12Ir crystal at the PBE level of DFT.

Its density of states at the Fermi level is 9.44 states/eV/f.u. For the formation energy, the calculation gives 0.04 eV per atom. Its total magnetic moment is 0.000 μB/f.u. The energy comes out at -217.32 eV for the cell shown.

It has space group R-3m (No. 166, hexagonal axes), with a = 5.1064 Å, b = 5.1064 Å, c = 37.5248 Å, α = 90.00°, β = 90.00° and γ = 120.00°. The inequivalent atoms are Li at (0.0000, 0.5000, 0.0000), Sm at (0.0000, 0.0000, 0.1454), Cu at (0.0028, 0.5014, 0.1080), Cu at (0.0083, 0.5042, 0.6112) and Ir at (0.0000, 0.0000, 0.5000).

---

No. 3
Computed, not measured: a relaxed LiSmCuIr crystal at the PBE level of DFT.

Its density of states at the Fermi level is 2.16 states/eV/f.u. For the formation energy, the calculation gives -0.19 eV per atom. Its total magnetic moment is 0.000 μB/f.u. The energy comes out at -81.43 eV for the cell shown.

It has space group F-43m (No. 216), with a = 6.450 Å, b = 6.450 Å, c = 6.450 Å, α = 90.00°, β = 90.00° and γ = 90.00°. The inequivalent atoms are Li at (0.000, 0.000, 0.000), Sm at (0.250, 0.250, 0.250), Cu at (0.000, 0.000, 0.500) and Ir at (0.250, 0.250, 0.750).